# 1
{"formula": "BaAl2Zn", "functional": "PBEsol", "state": "optimized geometry", "lattice": [[4.330, 0.000, 0.000], [2.165, 3.749, 0.000], [2.165, 1.250, 6.244]], "species": ["Al", "Al", "Ba", "Zn"], "frac_coords": [[0.204, 0.204, 0.387], [0.796, 0.796, 0.613], [0.000, 0.000, 0.000], [0.500, 0.500, 0.500]], "density_g_cm3": 4.2, "energy_ev_per_fu": -12.50, "spacegroup": "R-3m (166)"}



# 2
{"formula": "Ba2ZrAl", "functional": "PBEsol", "state": "optimized geometry", "lattice": [[-4.222, 3.661, 2.893], [-1.803, -1.902, 6.619], [2.614, 5.443, 3.771]], "species": ["Ba", "Ba", "Zr", "Zr", "Al", "Ba", "Al", "Ba"], "frac_coords": [[0.135, 0.990, 0.490], [0.375, 0.490, 0.010], [0.000, 0.000, 0.000], [0.750, 0.500, 0.500], [0.500, 0.000, 0.000], [0.615, 0.010, 0.510], [0.250, 0.500, 0.500], [0.875, 0.510, 0.990]], "density_g_cm3": 5.1, "energy_ev_per_fu": -14.84, "spacegroup": "I-42d (122)"}



# 3
{"formula": "Ba2ZrAl", "functional": "PBEsol", "state": "optimized geometry", "lattice": [[-3.791, -0.072, -0.508], [0.508, -1.088, -3.633], [-0.188, -9.084, 2.695]], "species": ["Al", "Ba", "Zr", "Ba"], "frac_coords": [[0.500, 0.500, 0.678], [0.500, 0.500, 0.313], [0.000, 0.000, 0.579], [0.000, 0.000, 0.929]], "density_g_cm3": 4.7, "energy_ev_per_fu": -16.97, "spacegroup": "P4mm (99)"}



# 4
{"formula": "Ba2ZrAl", "functional": "PBEsol", "state": "optimized geometry", "lattice": [[3.575, 0.000, 0.000], [1.788, 3.096, 0.000], [1.788, 1.032, 11.477]], "species": ["Ba", "Zr", "Al", "Ba"], "frac_coords": [[0.747, 0.747, 0.758], [0.500, 0.500, 0.500], [0.000, 0.000, 0.000], [0.253, 0.253, 0.242]], "density_g_cm3": 5.1, "energy_ev_per_fu": -15.35, "spacegroup": "R-3m (166)"}



# 5
{"formula": "Ba2ZrAl", "functional": "PBEsol", "state": "optimized geometry", "lattice": [[5.561, 0.000, 0.000], [2.780, 4.816, 0.000], [2.780, 1.605, 4.540]], "species": ["Ba", "Ba", "Al", "Zr"], "frac_coords": [[0.750, 0.750, 0.750], [0.000, 0.000, 0.000], [0.500, 0.500, 0.500], [0.250, 0.250, 0.250]], "density_g_cm3": 5.4, "energy_ev_per_fu": -15.74, "spacegroup": "F-43m (216)"}



# 6
{"formula": "Ba3ZrAl", "functional": "PBEsol", "state": "optimized geometry", "lattice": [[6.030, 0.000, 0.000], [0.000, 6.030, 0.000], [0.000, 0.000, 6.030]], "species": ["Ba", "Ba", "Al", "Ba", "Zr"], "frac_coords": [[0.000, 0.500, 0.000], [0.500, 0.000, 0.000], [0.500, 0.500, 0.500], [0.000, 0.000, 0.500], [0.000, 0.000, 0.000]], "density_g_cm3": 4.0, "energy_ev_per_fu": -15.37, "spacegroup": "Pm-3m (221)"}